[1]
## Tm5Pd6 (PBE)

Data for crystalline Tm5Pd6 at its relaxed geometry.

## Properties
The crystal system is monoclinic. The total energy comes out at -0.419 Ry per atom. The calculated formation energy comes out at -0.829 eV/atom. The value obtained for the calculated density is 10.27 g/cm3.

Structure (CIF):
```
data_Tm5Pd6
_symmetry_space_group_name_H-M 'C 1 2/m 1'
_symmetry_Int_Tables_number 12
_cell_length_a 14.981
_cell_length_b 6.961
_cell_length_c 4.808
_cell_angle_alpha 90.00
_cell_angle_beta 106.92
_cell_angle_gamma 90.00
loop_
_symmetry_equiv_pos_as_xyz
'x,y,z'
'-x,-y,-z'
'-x,y,-z'
'x,-y,z'
'x+1/2,y+1/2,z'
'-x+1/2,-y+1/2,-z'
'-x+1/2,y+1/2,-z'
'x+1/2,-y+1/2,z'
loop_
_atom_site_label
_atom_site_type_symbol
_atom_site_fract_x
_atom_site_fract_y
_atom_site_fract_z
Tm1 Tm 0.000 0.000 0.000
Tm2 Tm 0.144 0.500 0.658
Tm3 Tm 0.175 0.000 0.674
Pd1 Pd 0.000 0.218 0.500
Pd2 Pd 0.176 0.231 0.181
```

=====

[2]
## LuTh2Hg (PBE)

Data for crystalline LuTh2Hg at its relaxed geometry.

## Properties
The crystal system is tetragonal. The relative energy among the computed polymorphs comes out at 0.0229 eV per atom. The total energy comes out at -0.365 Ry per atom. The calculated formation energy comes out at -0.046 eV/atom. The value obtained for the calculated density is 11.69 g/cm3.

Structure (CIF):
```
data_LuTh2Hg
_symmetry_space_group_name_H-M 'P 4/m m m'
_symmetry_Int_Tables_number 123
_symmetry_space_group_name_Hall '-P 4 2'
_cell_length_a 3.497
_cell_length_b 3.497
_cell_length_c 9.751
_cell_angle_alpha 90.00
_cell_angle_beta 90.00
_cell_angle_gamma 90.00
loop_
_atom_site_label
_atom_site_type_symbol
_atom_site_fract_x
_atom_site_fract_y
_atom_site_fract_z
Lu1 Lu 0.000 0.000 0.000
Th1 Th 0.500 0.500 0.264
Hg1 Hg 0.000 0.000 0.500
```

=====

[3]
## DyHoTmCu (PBE)

Data for crystalline DyHoTmCu at its relaxed geometry.

## Properties
The crystal system is tetragonal. The total energy comes out at -0.334 Ry per atom. The calculated formation energy comes out at -0.107 eV/atom. The value obtained for the calculated density is 9.02 g/cm3.

Structure (CIF):
```
data_DyHoTmCu
_symmetry_space_group_name_H-M 'P 4 m m'
_symmetry_Int_Tables_number 99
_cell_length_a 3.454
_cell_length_b 3.454
_cell_length_c 8.640
_cell_angle_alpha 90.00
_cell_angle_beta 90.00
_cell_angle_gamma 90.00
loop_
_symmetry_equiv_pos_as_xyz
'x,y,z'
'-y,x,z'
'-x,-y,z'
'y,-x,z'
'-x,y,z'
'y,x,z'
'x,-y,z'
'-y,-x,z'
loop_
_atom_site_label
_atom_site_type_symbol
_atom_site_fract_x
_atom_site_fract_y
_atom_site_fract_z
Dy1 Dy 0.000 0.000 0.000
Ho1 Ho 0.500 0.500 0.696
Tm1 Tm 0.500 0.500 0.301
Cu1 Cu 0.000 0.000 0.493
```

=====

Number 1: spin magnetization 0.0 μB per formula unit. Number 2: spin magnetization 0.0 μB per formula unit. Number 3: spin magnetization 0.0 μB per formula unit.